# FeTeO (GGA+U, relaxed)
# * DOS(E_F): 0.418 states/eV/atom
# * mass density: 5.2 g/cm3
# * final energy: -4.911 eV/atom
data_FeTeO
_chemical_formula_sum 'Fe1 Te1 O1'
_cell_length_a 3.477
_cell_length_b 4.236
_cell_length_c 4.354
_cell_angle_alpha 90.00
_cell_angle_beta 90.00
_cell_angle_gamma 90.00
_symmetry_space_group_name_H-M 'P m m 2'
_symmetry_Int_Tables_number 25
loop_
_symmetry_equiv_pos_as_xyz
'x,y,z'
'-x,-y,z'
'-x,y,z'
'x,-y,z'
loop_
_atom_site_label
_atom_site_fract_x
_atom_site_fract_y
_atom_site_fract_z
Fe1 0.000 0.000 0.000
Te1 0.000 0.500 0.590
O1 0.500 0.000 0.102